[1]
5
Lattice="5.497 0.000 0.000 0.000 5.497 0.000 0.000 0.000 5.517" Properties=species:S:1:pos:R:3 comment="BaP2IrS, optimized geometry, DFT PBE" e_form_raw_kj_per_mol_fu=1057 relative_energy_mev_per_atom=2565 pbc="T T T"
Ba 0.000 0.000 0.000
P 0.000 2.749 0.000
P 2.749 0.000 0.000
Ir 2.749 2.749 2.759
S 0.000 0.000 2.759

---

[2]
5
Lattice="6.041 0.000 0.000 0.000 6.041 0.000 0.000 0.000 4.028" Properties=species:S:1:pos:R:3 comment="ScIn2BPb, optimized geometry, DFT PBE" ef_ev_per_atom=1.165 pbc="T T T"
Sc 0.000 0.000 0.000
In 0.000 3.021 2.014
In 3.021 0.000 2.014
B 3.021 3.021 0.000
Pb 3.021 3.021 2.014

---

[3]
10
Lattice="3.083 0.000 0.000 0.000 3.083 0.000 0.000 0.000 14.707" Properties=species:S:1:pos:R:3 comment="LiGa5Ru4, optimized geometry, DFT PBE" ef_ev_per_atom=-0.313 pbc="T T T"
Li 0.000 0.000 0.000
Ga 1.541 1.541 1.503
Ga 1.541 1.541 4.380
Ga 1.541 1.541 7.354
Ga 1.541 1.541 10.327
Ga 1.541 1.541 13.204
Ru 0.000 0.000 2.846
Ru 0.000 0.000 5.870
Ru 0.000 0.000 8.837
Ru 0.000 0.000 11.861

---

[4]
19
Lattice="-5.297 5.297 5.297 5.297 -5.297 5.297 5.297 5.297 -5.297" Properties=species:S:1:pos:R:3 comment="PmSm12Sc6, optimized geometry, DFT PBE" ef_ev_per_atom=0.238 pbc="T T T"
Pm 0.000 0.000 0.000
Sm 5.297 -2.446 3.194
Sm 2.851 2.103 0.000
Sm 7.743 2.103 0.000
Sm 3.194 5.297 -2.446
Sm 2.103 0.000 2.851
Sm 0.000 2.851 2.103
Sm 5.297 2.446 3.194
Sm 3.194 5.297 2.446
Sm 2.103 0.000 7.743
Sm -2.446 3.194 5.297
Sm 2.446 3.194 5.297
Sm 0.000 7.743 2.103
Sc 5.297 0.000 1.459
Sc 5.297 3.838 0.000
Sc 1.459 5.297 0.000
Sc 3.838 0.000 5.297
Sc 0.000 1.459 5.297
Sc 0.000 5.297 3.838

---

[5]
8
Lattice="-6.606 6.606 2.229 6.606 -6.606 2.229 6.606 6.606 -2.229" Properties=species:S:1:pos:R:3 comment="Cs2PPt, optimized geometry, DFT PBE" ef_ev_per_atom=-0.393 pbc="T T T"
Cs -0.912 3.303 0.557
Cs 3.303 5.694 1.672
Cs 0.912 9.909 0.557
Cs -3.303 7.518 1.672
P 6.606 0.000 1.114
P 0.000 0.000 2.229
Pt 0.000 0.000 0.000
Pt 0.000 6.606 1.114

---

[6]
19
Lattice="5.041 2.911 3.208 -5.041 2.911 3.208 0.000 -5.821 3.208" Properties=species:S:1:pos:R:3 comment="Sm6NbO12, optimized geometry, DFT PBE" e_form_raw_kj_per_mol_fu=-5903 pbc="T T T"
Sm -2.663 -2.467 4.974
Sm -3.468 1.072 4.650
Sm 0.805 -3.539 4.650
Sm -0.805 3.539 4.974
Sm 3.468 -1.072 4.974
Sm 2.663 2.467 4.650
Nb 0.000 0.000 4.812
O -1.325 -4.197 4.153
O -4.298 -0.951 5.472
O -1.716 -0.351 3.759
O -2.973 3.246 4.153
O 1.162 -1.311 3.759
O -0.555 -1.662 5.866
O 0.555 1.662 3.759
O -1.162 1.311 5.866
O 2.973 -3.246 5.472
O 1.716 0.351 5.866
O 4.298 0.951 4.153
O 1.325 4.197 5.472

---

[7]
10
Lattice="7.131 0.000 0.000 0.000 7.131 0.000 0.000 0.000 4.062" Properties=species:S:1:pos:R:3 comment="Ta2AlSn2, optimized geometry, DFT PBE" ef_ev_per_atom=0.192 pbc="T T T"
Ta 1.019 2.546 0.000
Ta 2.546 6.112 0.000
Ta 4.585 1.019 0.000
Ta 6.112 4.585 0.000
Al 0.000 0.000 0.000
Al 3.566 3.566 0.000
Sn 1.137 4.703 2.031
Sn 2.429 1.137 2.031
Sn 4.703 5.994 2.031
Sn 5.994 2.429 2.031

---

[8]
12
Lattice="3.419 1.974 10.770 -3.419 1.974 10.770 0.000 -3.948 10.770" Properties=species:S:1:pos:R:3 comment="Rb3Na2Tl7, optimized geometry, DFT PBE" ef_ev_per_atom=-0.074 pbc="T T T"
Rb 0.000 0.000 0.000
Rb 0.000 0.000 4.576
Rb 0.000 0.000 27.733
Na 0.000 0.000 10.789
Na 0.000 0.000 21.520
Tl -1.734 -1.001 13.451
Tl 0.000 -2.003 18.859
Tl -1.734 1.001 18.859
Tl 0.000 0.000 16.155
Tl 1.734 -1.001 13.450
Tl 0.000 2.003 13.450
Tl 1.734 1.001 18.859

---

Please write out number 1 again, unchanged.
5
Lattice="5.497 0.000 0.000 0.000 5.497 0.000 0.000 0.000 5.517" Properties=species:S:1:pos:R:3 comment="BaP2IrS, optimized geometry, DFT PBE" e_form_raw_kj_per_mol_fu=1057 relative_energy_mev_per_atom=2565 pbc="T T T"
Ba 0.000 0.000 0.000
P 0.000 2.749 0.000
P 2.749 0.000 0.000
Ir 2.749 2.749 2.759
S 0.000 0.000 2.759